Record 1
A relaxed structure of CaMg2Re, computed with GGA-PBE.

The uncorrected energy comes out at -15.8 eV per cell. The calculation puts the energy of formation from the pure elements at 0.460 eV per atom. Its energy relative to the lowest polymorph listed for this composition is 4.9 kJ/mol of atoms.

```
data_CaMg2Re
_cell_length_a 2.978
_cell_length_b 3.913
_cell_length_c 7.500
_cell_angle_alpha 90.00
_cell_angle_beta 90.00
_cell_angle_gamma 90.00
_symmetry_space_group_name_H-M 'P m m 2'
_symmetry_Int_Tables_number 25
loop_
_symmetry_equiv_pos_as_xyz
'x,y,z'
'-x,-y,z'
'-x,y,z'
'x,-y,z'
loop_
_atom_site_label
_atom_site_type_symbol
_atom_site_fract_x
_atom_site_fract_y
_atom_site_fract_z
_atom_site_occupancy
Ca1 Ca 0.000 0.000 0.000 1
Mg1 Mg 0.000 0.000 0.572 1
Mg2 Mg 0.500 0.500 0.345 1
Re1 Re 0.500 0.500 0.743 1
```

=====

Record 2
A relaxed structure of GeBiSe2N, computed with GGA-PBE.

The calculation puts the energy relative to the elements, uncorrected at 1006 meV per atom. The uncorrected energy comes out at -18.8 eV per cell. Its energy relative to the lowest polymorph listed for this composition is 54.4 kJ/mol of atoms.

```
data_GeBiSe2N
_cell_length_a 5.551
_cell_length_b 5.551
_cell_length_c 4.336
_cell_angle_alpha 90.00
_cell_angle_beta 90.00
_cell_angle_gamma 90.00
_symmetry_space_group_name_H-M 'P 4/m m m'
_symmetry_Int_Tables_number 123
_symmetry_space_group_name_Hall '-P 4 2'
loop_
_atom_site_label
_atom_site_type_symbol
_atom_site_fract_x
_atom_site_fract_y
_atom_site_fract_z
_atom_site_occupancy
Ge1 Ge 0.000 0.000 0.000 1
Bi1 Bi 0.500 0.500 0.500 1
Se1 Se 0.000 0.500 0.500 1
N1 N 0.500 0.500 0.000 1
```

=====

Record 3
A relaxed structure of V3IrRu, computed with GGA-PBE.

The uncorrected energy comes out at -39.9 eV per cell. The calculation puts the energy of formation from the pure elements at 1.123 eV per atom. Its energy relative to the lowest polymorph listed for this composition is 102.7 kJ/mol of atoms.

```
data_V3IrRu
_cell_length_a 4.434
_cell_length_b 4.434
_cell_length_c 4.434
_cell_angle_alpha 90.00
_cell_angle_beta 90.00
_cell_angle_gamma 90.00
_symmetry_space_group_name_H-M 'P m -3 m'
_symmetry_Int_Tables_number 221
_symmetry_space_group_name_Hall '-P 4 2 3'
loop_
_atom_site_label
_atom_site_type_symbol
_atom_site_fract_x
_atom_site_fract_y
_atom_site_fract_z
_atom_site_occupancy
V1 V 0.000 0.000 0.500 1
Ir1 Ir 0.500 0.500 0.500 1
Ru1 Ru 0.000 0.000 0.000 1
```

=====

Record 4
A relaxed structure of HfZr2BO, computed with GGA-PBE.

The calculation puts the energy relative to the elements, uncorrected at 1370 meV per atom. The uncorrected energy comes out at -31.8 eV per cell.

```
data_HfZr2BO
_cell_length_a 5.160
_cell_length_b 5.160
_cell_length_c 4.117
_cell_angle_alpha 90.00
_cell_angle_beta 90.00
_cell_angle_gamma 90.00
_symmetry_space_group_name_H-M 'P 4/m m m'
_symmetry_Int_Tables_number 123
_symmetry_space_group_name_Hall '-P 4 2'
loop_
_atom_site_label
_atom_site_type_symbol
_atom_site_fract_x
_atom_site_fract_y
_atom_site_fract_z
_atom_site_occupancy
Hf1 Hf 0.000 0.000 0.000 1
Zr1 Zr 0.000 0.500 0.000 1
B1 B 0.000 0.000 0.500 1
O1 O 0.500 0.500 0.500 1
```

=====

Record 5
A relaxed structure of Ho8Ni2Te, computed with GGA-PBE.

The calculation puts the energy relative to the elements, uncorrected at -273 meV per atom. The uncorrected energy comes out at -108.6 eV per cell.

```
data_Ho8Ni2Te
_cell_length_a 8.389
_cell_length_b 12.885
_cell_length_c 5.605
_cell_angle_alpha 90.00
_cell_angle_beta 103.07
_cell_angle_gamma 90.00
_symmetry_space_group_name_H-M 'C 1 2/m 1'
_symmetry_Int_Tables_number 12
loop_
_symmetry_equiv_pos_as_xyz
'x,y,z'
'-x,-y,-z'
'-x,y,-z'
'x,-y,z'
'x+1/2,y+1/2,z'
'-x+1/2,-y+1/2,-z'
'-x+1/2,y+1/2,-z'
'x+1/2,-y+1/2,z'
loop_
_atom_site_label
_atom_site_type_symbol
_atom_site_fract_x
_atom_site_fract_y
_atom_site_fract_z
_atom_site_occupancy
Ho1 Ho 0.000 0.248 0.000 1
Ho2 Ho 0.106 0.500 0.797 1
Ho3 Ho 0.208 0.131 0.598 1
Ni1 Ni 0.000 0.302 0.500 1
Te1 Te 0.000 0.000 0.000 1
```

=====

Record 6
A relaxed structure of Fe2AsBr, computed with GGA-PBE.

The calculation puts the energy relative to the elements, uncorrected at 160 meV per atom. The uncorrected energy comes out at -45.2 eV per cell. Its energy relative to the lowest polymorph listed for this composition is 13.1 kJ/mol of atoms.

```
data_Fe2AsBr
_cell_length_a 3.237
_cell_length_b 3.588
_cell_length_c 13.475
_cell_angle_alpha 90.00
_cell_angle_beta 90.00
_cell_angle_gamma 90.00
_symmetry_space_group_name_H-M 'I m m 2'
_symmetry_Int_Tables_number 44
loop_
_symmetry_equiv_pos_as_xyz
'x,y,z'
'-x,-y,z'
'-x,y,z'
'x,-y,z'
'x+1/2,y+1/2,z+1/2'
'-x+1/2,-y+1/2,z+1/2'
'-x+1/2,y+1/2,z+1/2'
'x+1/2,-y+1/2,z+1/2'
loop_
_atom_site_label
_atom_site_type_symbol
_atom_site_fract_x
_atom_site_fract_y
_atom_site_fract_z
_atom_site_occupancy
Fe1 Fe 0.000 0.000 0.000 1
Fe2 Fe 0.000 0.500 0.361 1
As1 As 0.000 0.000 0.492 1
Br1 Br 0.000 0.500 0.755 1
```

=====

Record 7
A relaxed structure of SbMoIrI2, computed with GGA-PBE.

The calculation puts the energy relative to the elements, uncorrected at 1486 meV per atom. The uncorrected energy comes out at -19.5 eV per cell. Its energy relative to the lowest polymorph listed for this composition is 32.7 kJ/mol of atoms.

```
data_SbMoIrI2
_cell_length_a 5.270
_cell_length_b 5.270
_cell_length_c 5.337
_cell_angle_alpha 90.00
_cell_angle_beta 90.00
_cell_angle_gamma 90.00
_symmetry_space_group_name_H-M 'P 4/m m m'
_symmetry_Int_Tables_number 123
_symmetry_space_group_name_Hall '-P 4 2'
loop_
_atom_site_label
_atom_site_type_symbol
_atom_site_fract_x
_atom_site_fract_y
_atom_site_fract_z
_atom_site_occupancy
Sb1 Sb 0.000 0.000 0.000 1
Mo1 Mo 0.000 0.000 0.500 1
Ir1 Ir 0.500 0.500 0.000 1
I1 I 0.000 0.500 0.500 1
```

=====

Record 8
A relaxed structure of Ti7PSe12, computed with GGA-PBE.

The calculation puts the energy relative to the elements, uncorrected at -1013 meV per atom. The uncorrected energy comes out at -368.3 eV per cell.

```
data_Ti7PSe12
_cell_length_a 13.0511
_cell_length_b 13.0511
_cell_length_c 8.8013
_cell_angle_alpha 90.00
_cell_angle_beta 90.00
_cell_angle_gamma 120.00
_symmetry_space_group_name_H-M 'R -3'
_symmetry_Int_Tables_number 148
_symmetry_space_group_name_Hall '-R 3'
loop_
_atom_site_label
_atom_site_type_symbol
_atom_site_fract_x
_atom_site_fract_y
_atom_site_fract_z
_atom_site_occupancy
Ti1 Ti 0.0000 0.0000 0.0000 1
Ti2 Ti 0.0555 0.1808 0.3358 1
P1 P 0.0000 0.0000 0.5000 1
Se1 Se 0.0225 0.5867 0.1672 1
Se2 Se 0.0529 0.1800 0.8325 1
```

=====

Record 9
A relaxed structure of MgIn3Rh, computed with GGA-PBE.

The uncorrected energy comes out at -17.4 eV per cell. The calculation puts the energy of formation from the pure elements at -0.046 eV per atom. Its energy relative to the lowest polymorph listed for this composition is 13.4 kJ/mol of atoms.

```
data_MgIn3Rh
_cell_length_a 5.165
_cell_length_b 5.165
_cell_length_c 5.165
_cell_angle_alpha 90.00
_cell_angle_beta 90.00
_cell_angle_gamma 90.00
_symmetry_space_group_name_H-M 'P m -3 m'
_symmetry_Int_Tables_number 221
_symmetry_space_group_name_Hall '-P 4 2 3'
loop_
_atom_site_label
_atom_site_type_symbol
_atom_site_fract_x
_atom_site_fract_y
_atom_site_fract_z
_atom_site_occupancy
Mg1 Mg 0.000 0.000 0.000 1
In1 In 0.000 0.500 0.500 1
Rh1 Rh 0.500 0.500 0.500 1
```

=====

Record 10
A relaxed structure of CrIr2Au, computed with GGA-PBE.

The uncorrected energy comes out at -59.4 eV per cell. The calculation puts the energy of formation from the pure elements at 0.235 eV per atom. Its energy relative to the lowest polymorph listed for this composition is 20.4 kJ/mol of atoms.

```
data_CrIr2Au
_cell_length_a 2.793
_cell_length_b 4.713
_cell_length_c 9.323
_cell_angle_alpha 90.00
_cell_angle_beta 90.00
_cell_angle_gamma 90.00
_symmetry_space_group_name_H-M 'C m m m'
_symmetry_Int_Tables_number 65
_symmetry_space_group_name_Hall '-C 2 2'
loop_
_atom_site_label
_atom_site_type_symbol
_atom_site_fract_x
_atom_site_fract_y
_atom_site_fract_z
_atom_site_occupancy
Cr1 Cr 0.000 0.000 0.000 1
Ir1 Ir 0.000 0.500 0.222 1
Au1 Au 0.000 0.000 0.500 1
```

=====

Record 11
A relaxed structure of PrTmPb, computed with GGA-PBE.

The uncorrected energy comes out at -27.3 eV per cell. The calculation puts the energy of formation from the pure elements at -0.228 eV per atom.

```
data_PrTmPb
_cell_length_a 3.580
_cell_length_b 8.420
_cell_length_c 6.404
_cell_angle_alpha 90.00
_cell_angle_beta 90.00
_cell_angle_gamma 90.00
_symmetry_space_group_name_H-M 'P m n 21'
_symmetry_Int_Tables_number 31
loop_
_symmetry_equiv_pos_as_xyz
'x,y,z'
'-x+1/2,-y,z+1/2'
'-x,y,z'
'x+1/2,-y,z+1/2'
loop_
_atom_site_label
_atom_site_type_symbol
_atom_site_fract_x
_atom_site_fract_y
_atom_site_fract_z
_atom_site_occupancy
Pr1 Pr 0.000 0.031 0.000 1
Tm1 Tm 0.000 0.631 0.760 1
Pb1 Pb 0.000 0.683 0.257 1
```

=====

Record 12
A relaxed structure of Tb2YThAs4, computed with GGA-PBE.

The uncorrected energy comes out at -53.9 eV per cell. The calculation puts the energy of formation from the pure elements at -1.526 eV per atom.

```
data_Tb2YThAs4
_cell_length_a 7.208
_cell_length_b 4.174
_cell_length_c 7.213
_cell_angle_alpha 90.00
_cell_angle_beta 109.47
_cell_angle_gamma 90.00
_symmetry_space_group_name_H-M 'P 1 2/m 1'
_symmetry_Int_Tables_number 10
loop_
_symmetry_equiv_pos_as_xyz
'x,y,z'
'-x,-y,-z'
'-x,y,-z'
'x,-y,z'
loop_
_atom_site_label
_atom_site_type_symbol
_atom_site_fract_x
_atom_site_fract_y
_atom_site_fract_z
_atom_site_occupancy
Tb1 Tb 0.000 0.000 0.000 1
Tb2 Tb 0.500 0.500 0.000 1
Y1 Y 0.000 0.500 0.500 1
Th1 Th 0.500 0.000 0.500 1
As1 As 0.246 0.500 0.246 1
As2 As 0.248 0.000 0.751 1
```